(1)
ScMnPd2I, relaxed, DFT PBE; energy = -4.807 eV per atom; volume = 122.78 Å³/cell; SG = P4/mmm, No. 123
1.0
4.856 0.000 0.000
0.000 5.207 0.000
0.000 0.000 4.856
Pd Sc Mn I
2 1 1 1
direct
0.000 0.000 0.500
0.500 0.000 0.000
0.000 0.000 0.000
0.000 0.500 0.000
0.500 0.500 0.500

(2)
BaNi2, relaxed, DFT PBE; volume = 148.48 Å³/cell; energy of formation = 0.118 eV/atom; SG = C2/m, No. 12
1.0
-1.658 -3.258 -1.274
2.551 -0.326 3.395
-8.807 2.669 4.638
Ba Ni
2 4
direct
0.672 0.343 0.960
0.273 0.546 0.540
0.400 0.800 0.144
0.544 0.089 0.356
0.113 0.225 0.215
0.832 0.664 0.285